No. 1
A geometry-optimized Pr12Ho6Tm structure, computed with PBE.

Calculated values
Its density of states at the Fermi level is 29.357 states/eV per cell. The total energy is -4.463 eV per atom. As for the energy of formation: 236.4 meV/atom. As for the excess energy over the best structure of this formula in the dataset: 0.108 eV/atom.

Cell and atoms, written as POSCAR:
```
Pr12Ho6Tm
1.0
8.891 0.125 -2.734
-3.735 8.069 -2.734
0.079 0.125 9.302
Tm Pr Ho
1 12 6
Cartesian
0.000 0.000 0.000
-1.083 5.958 5.653
6.318 2.361 -1.820
5.669 3.521 1.437
1.841 4.302 4.970
-0.434 4.798 2.396
3.647 1.685 3.579
1.588 6.635 0.254
-1.918 6.717 -0.027
3.181 7.142 -2.740
3.394 4.017 -1.138
7.153 1.602 3.860
2.054 1.177 6.573
5.220 4.639 4.852
0.029 1.606 3.465
1.498 7.599 3.511
5.206 6.713 0.368
0.015 3.681 -1.019
3.737 0.721 0.322
```

No. 2
A geometry-optimized Pr7Ho3Tm structure, computed with PBE.

Calculated values
Its density of states at the Fermi level is 32.975 states/eV per cell. The total energy is -4.511 eV per atom. As for the energy of formation: 185.8 meV/atom. As for the excess energy over the best structure of this formula in the dataset: 0.000 eV/atom.

Cell and atoms, written as POSCAR:
```
Pr7Ho3Tm
1.0
-3.735 -9.306 -2.679
1.538 5.729 8.522
-8.794 8.972 2.191
Pr Ho Tm
14 6 2
Cartesian
-7.160 -0.460 3.648
-1.693 5.785 7.379
-3.831 5.855 4.385
-4.980 4.094 7.243
-3.734 -0.257 4.631
-7.257 5.652 3.403
-6.011 1.300 0.791
-6.071 10.301 8.423
-9.298 -0.390 0.654
-4.920 -4.907 -0.389
-9.314 8.571 8.371
-8.297 10.338 5.467
-1.677 -3.176 -0.337
-2.694 -4.943 2.567
0.000 0.000 0.000
-6.594 0.909 6.938
-8.794 2.566 2.664
-2.198 2.829 5.370
-6.579 7.341 6.423
-4.412 -1.946 1.610
-9.893 7.183 5.112
-5.495 2.697 4.017
```

No. 3
A geometry-optimized PrHo3Tm8 structure, computed with PBE.

Calculated values
Its density of states at the Fermi level is 21.117 states/eV per cell. The total energy is -4.518 eV per atom. As for the energy of formation: 5.5 meV/atom.

Cell and atoms, written as POSCAR:
```
PrHo3Tm8
1.0
6.854 0.391 -4.757
-2.957 7.730 -1.165
-1.656 -0.391 8.177
Ho Tm Pr
3 8 1
Cartesian
1.434 1.846 3.470
0.797 5.884 -1.222
3.682 4.061 -1.820
0.068 5.014 3.665
2.384 1.366 0.141
5.045 0.881 -1.999
-2.797 6.850 4.259
2.756 4.523 1.482
-1.221 2.325 5.624
-1.884 6.364 0.968
-0.506 3.207 0.779
4.333 0.000 2.851
```

No. 4
A geometry-optimized PrHo4Tm2 structure, computed with PBE.

Calculated values
Its density of states at the Fermi level is 10.118 states/eV per cell. The total energy is -4.542 eV per atom. As for the energy of formation: 33.7 meV/atom. As for the excess energy over the best structure of this formula in the dataset: 0.000 eV/atom.

Cell and atoms, written as POSCAR:
```
PrHo4Tm2
1.0
-0.420 -3.308 -1.109
3.545 -2.924 7.382
-7.973 2.812 0.197
Tm Ho Pr
2 4 1
Cartesian
-5.217 -2.327 3.338
0.369 -1.094 3.131
0.432 -3.755 5.474
-5.280 0.335 0.996
-2.530 -2.038 1.474
-2.318 -1.382 4.996
0.000 0.000 0.000
```

No. 5
A geometry-optimized Pr4Ho6Tm structure, computed with PBE.

Calculated values
Its density of states at the Fermi level is 14.006 states/eV per cell. The total energy is -4.350 eV per atom. As for the energy of formation: 291.5 meV/atom. As for the excess energy over the best structure of this formula in the dataset: 0.123 eV/atom.

Cell and atoms, written as POSCAR:
```
Pr4Ho6Tm
1.0
7.488 -2.901 -5.477
-5.169 8.018 1.867
-1.870 2.901 9.087
Tm Pr Ho
1 4 6
Cartesian
0.000 0.000 0.000
-1.259 1.954 5.789
0.271 2.892 1.926
-2.296 8.966 7.403
-3.304 5.126 1.313
2.809 0.000 1.805
-3.798 5.892 8.103
-1.247 5.027 4.132
-4.969 7.708 5.541
1.160 2.558 -1.805
3.425 0.310 -1.345
```

No. 6
A geometry-optimized Pr15Ho4Tm structure, computed with PBE.

Calculated values
Its density of states at the Fermi level is 26.567 states/eV per cell. The total energy is -4.714 eV per atom. As for the energy of formation: 9.3 meV/atom.

Cell and atoms, written as POSCAR:
```
Pr15Ho4Tm
1.0
-2.166 -1.103 -4.585
4.679 0.125 -2.240
2.920 -25.218 4.686
Pr Ho Tm
15 4 1
Cartesian
1.256 -0.489 -3.413
2.425 -10.576 -1.538
3.009 -15.619 -0.601
3.215 -7.501 0.285
-0.792 -3.065 -1.825
1.546 -23.255 1.927
4.969 -22.641 3.099
3.593 -20.667 0.337
0.377 -13.160 0.051
0.962 -18.205 0.988
4.384 -17.591 2.161
2.631 -2.451 -0.653
-0.207 -8.115 -0.887
1.840 -5.528 -2.476
3.800 -12.546 1.223
1.168 -10.087 1.875
1.752 -15.131 2.812
0.583 -5.038 0.936
2.337 -20.179 3.750
0.000 0.000 0.000
```